Compound: TlCuNiF6
Source: the Alexandria database
Functional: PBE with a Hubbard U
Structure: optimized geometry

Geometry as CIF:
```
data_TlCuNiF6
_cell_length_a 4.969
_cell_length_b 4.969
_cell_length_c 10.025
_cell_angle_alpha 90.00
_cell_angle_beta 90.00
_cell_angle_gamma 90.00
_symmetry_space_group_name_H-M 'P 42 n m'
_symmetry_Int_Tables_number 102
_symmetry_space_group_name_Hall 'P 4n -2n'
loop_
_atom_site_label
_atom_site_type_symbol
_atom_site_fract_x
_atom_site_fract_y
_atom_site_fract_z
_atom_site_occupancy
Tl1 Tl 0.000 0.000 0.000 1
Cu1 Cu 0.000 0.000 0.669 1
Ni1 Ni 0.000 0.000 0.333 1
F1 F 0.178 0.178 0.495 1
F2 F 0.203 0.203 0.182 1
F3 F 0.212 0.212 0.824 1
```

## Properties
uncorrected energy = -36.163 eV/f.u.
volume = 247.51 Å³ per cell